An optimized crystal structure of PrNdAgHg. Source: the Alexandria database, functional PBE-GGA.

Cell and atoms, written as CIF:
```
data_PrNdAgHg
_chemical_formula_sum 'Pr4 Nd4 Ag4 Hg4'
_cell_length_a 7.622
_cell_length_b 7.622
_cell_length_c 7.622
_cell_angle_alpha 90.00
_cell_angle_beta 90.00
_cell_angle_gamma 90.00
_space_group_name_H-M_alt 'F -4 3 m'
_space_group_IT_number 216
_space_group_name_Hall 'F -4 2 3'
loop_
_atom_site_label
_atom_site_type_symbol
_atom_site_fract_x
_atom_site_fract_y
_atom_site_fract_z
_atom_site_occupancy
Pr1 Pr 0.000 0.000 0.000 1
Nd1 Nd 0.000 0.000 0.500 1
Ag1 Ag 0.250 0.250 0.250 1
Hg1 Hg 0.250 0.250 0.750 1
```

Summary:
ΔH_f (0 K) = -35.1 kJ per mole of atoms
DOS at the Fermi energy = 4.1 states/eV/f.u.

An optimized crystal structure of CsCe2TcO8. Source: the Alexandria database, functional PBE-GGA.

Cell and atoms, written as CIF:
```
data_CsCe2TcO8
_chemical_formula_sum 'Cs2 Ce4 Tc2 O16'
_cell_length_a 8.765
_cell_length_b 6.730
_cell_length_c 7.852
_cell_angle_alpha 90.00
_cell_angle_beta 103.50
_cell_angle_gamma 90.00
_space_group_name_H-M_alt 'C 1 2/m 1'
_space_group_IT_number 12
_space_group_name_Hall '-C 2y'
loop_
_atom_site_label
_atom_site_type_symbol
_atom_site_fract_x
_atom_site_fract_y
_atom_site_fract_z
_atom_site_occupancy
Cs1 Cs 0.000 0.000 0.000 1
Ce1 Ce 0.053 0.500 0.229 1
Tc1 Tc 0.000 0.000 0.500 1
O1 O 0.006 0.203 0.331 1
O2 O 0.145 0.500 0.001 1
O3 O 0.219 0.000 0.567 1
```

Summary:
formation energy without anion corrections = -2.187 eV/atom

An optimized crystal structure of TcHgAsO6. Source: the Alexandria database, functional PBE-GGA.

Cell and atoms, written as CIF:
```
data_TcHgAsO6
_chemical_formula_sum 'Tc1 Hg1 As1 O6'
_cell_length_a 5.1510
_cell_length_b 5.1510
_cell_length_c 4.9973
_cell_angle_alpha 90.00
_cell_angle_beta 90.00
_cell_angle_gamma 120.00
_space_group_name_H-M_alt 'P 3 1 2'
_space_group_IT_number 149
_space_group_name_Hall 'P 3 2'
loop_
_atom_site_label
_atom_site_type_symbol
_atom_site_fract_x
_atom_site_fract_y
_atom_site_fract_z
_atom_site_occupancy
Tc1 Tc 0.0000 0.0000 0.0000 1
Hg1 Hg 0.6667 0.3333 0.5000 1
As1 As 0.3333 0.6667 0.0000 1
O1 O 0.0546 0.3461 0.2118 1
```

Summary:
DOS at the Fermi energy = 2.6 states/eV/f.u.
formation energy without anion corrections = -1.002 eV/atom

| no. | total energy (eV/atom) | V (Å³ per cell) |
| --- | --- | --- |
| 1 | -3.54 | 442.86 |
| 2 | -7.42 | 450.42 |
| 3 | -6.01 | 114.83 |